1.
The following is a PBE-GGA calculation of a relaxed K2BePb crystal, from the Alexandria database.

Computed properties:
As for the crystal system: monoclinic. The total magnetization is 0.000 μB/atom. The formation energy from the elements is 567 meV/atom. Its space-group type is C2/m.

a b c (Å): 6.2256 6.2256 4.0147
angles (deg): 90.08 90.08 120.94
Atoms (fractional coordinates):
K1 0.0000 0.5000 0.0000
K2 0.5000 0.0000 0.0000
Be1 0.0000 0.0000 0.5000
Pb1 0.5000 0.5000 0.5000

2.
The following is a PBE-GGA calculation of a relaxed Sr2ThGaTe5 crystal, from the Alexandria database.

Computed properties:
As for the crystal system: orthorhombic. The total magnetization is 0.000 μB/atom. The value obtained for the formation energy without anion corrections is -1.17 eV/atom. Its space-group type is Cmc2_1.

a b c (Å): 10.1437 10.1437 13.4490
angles (deg): 90.00 90.00 153.15
Atoms (fractional coordinates):
Sr1 0.1143 0.8857 0.5000
Sr2 0.1184 0.8816 0.1335
Sr3 0.8816 0.1184 0.6335
Sr4 0.8857 0.1143 0.0000
Th1 0.2053 0.7947 0.8320
Th2 0.7947 0.2053 0.3320
Ga1 0.4425 0.5575 0.2637
Ga2 0.5575 0.4425 0.7637
Te1 0.0464 0.9536 0.8611
Te2 0.2926 0.7074 0.4892
Te3 0.3100 0.6900 0.1724
Te4 0.3613 0.6387 0.8194
Te5 0.4993 0.5007 0.0839
Te6 0.5007 0.4993 0.5839
Te7 0.6387 0.3613 0.3194
Te8 0.6900 0.3100 0.6724
Te9 0.7074 0.2926 0.9892
Te10 0.9536 0.0464 0.3611

3.
The following is a PBE-GGA calculation of a relaxed PuThHg4 crystal, from the Alexandria database.

Computed properties:
As for the crystal system: orthorhombic. The total magnetization is 0.990 μB/atom. The formation energy from the elements is -215 meV/atom. Its space-group type is Pmmm.

a b c (Å): 3.2970 5.1193 8.8585
angles (deg): 90.00 90.00 90.00
Atoms (fractional coordinates):
Pu1 0.0000 0.0000 0.0000
Th1 0.0000 0.5000 0.5000
Hg1 0.5000 0.0000 0.3317
Hg2 0.5000 0.0000 0.6683
Hg3 0.5000 0.5000 0.1649
Hg4 0.5000 0.5000 0.8351

4.
The following is a PBE-GGA calculation of a relaxed CsLi2GeI6 crystal, from the Alexandria database.

Computed properties:
As for the crystal system: monoclinic. The total magnetization is 0.000 μB/atom. The value obtained for the formation energy without anion corrections is -0.82 eV/atom. Its space-group type is C2/c.

a b c (Å): 11.3309 11.3309 8.4897
angles (deg): 110.16 110.16 81.16
Atoms (fractional coordinates):
Cs1 0.1099 0.8901 0.7500
Cs2 0.8901 0.1099 0.2500
Li1 0.2613 0.3646 0.7747
Li2 0.3646 0.2613 0.2747
Li3 0.6354 0.7387 0.7253
Li4 0.7387 0.6354 0.2253
Ge1 0.2676 0.7324 0.2500
Ge2 0.7324 0.2676 0.7500
I1 0.0201 0.7249 0.1876
I2 0.1802 0.3290 0.4248
I3 0.2751 0.9799 0.3124
I4 0.3265 0.6215 0.9352
I5 0.3290 0.1802 0.9248
I6 0.3785 0.6735 0.5648
I7 0.6215 0.3265 0.4352
I8 0.6710 0.8198 0.0752
I9 0.6735 0.3785 0.0648
I10 0.7249 0.0201 0.6876
I11 0.8198 0.6710 0.5752
I12 0.9799 0.2751 0.8124

| no. | E_tot (eV/atom) |
| --- | --- |
| 1 | -1.841 |
| 2 | -4.447 |
| 3 | -4.042 |
| 4 | -2.681 |